First-principles (GGA+U) data for RbMo2AuO after structural relaxation, as listed in Alexandria.

Cell: 4.3153 4.3153 6.9466 Å, 90.00 90.00 90.00°
Fractional coordinates of all 5 atoms:
1 Rb 0.0000 0.0000 0.0000
2 Mo 0.0000 0.5000 0.5000
3 Mo 0.5000 0.0000 0.5000
4 Au 0.5000 0.5000 0.0000
5 O 0.5000 0.5000 0.5000

Properties
The spin magnetization is 2.0 μB per formula unit. The calculation puts the calculated volume at 25.87 Å³/atom. As for the total energy: -3.920 eV/atom. The symmetry is P4/mmm (123).